Entry 1:
# CaGaSeBr2

CaGaSeBr2 after structural relaxation (PBE, Alexandria via LeMat-Bulk).

Properties
As for the volume: 181.2 Å³/cell. The energy above the most stable polymorph in this dataset comes out at 2.8 kJ per mole of atoms. The value obtained for the uncorrected formation energy is -0.8263 eV per atom.

abc: 5.631 5.631 5.716
angles: 90.00 90.00 90.00
Sites, in units of the cell vectors:
Ca (0.000, 0.000, 0.000)
Ga (0.500, 0.500, 0.500)
Se (0.000, 0.000, 0.500)
Br (0.000, 0.500, 0.000)
Br (0.500, 0.000, 0.000)



Entry 2:
# ErScRuPt

ErScRuPt after structural relaxation (PBE, Alexandria via LeMat-Bulk).

Properties
For the calculated formation energy, the calculation gives -0.929 eV/atom. As for the volume: 73.9 Å³/cell. The energy above the most stable polymorph in this dataset comes out at 0.0 kJ per mole of atoms.

abc: 3.367 3.367 6.517
angles: 90.00 90.00 90.00
Sites, in units of the cell vectors:
Er (0.000, 0.000, 0.000)
Sc (0.000, 0.000, 0.487)
Ru (0.500, 0.500, 0.259)
Pt (0.500, 0.500, 0.733)



Entry 3:
# Mn4Ga2H

Mn4Ga2H after structural relaxation (PBE, Alexandria via LeMat-Bulk).

Properties
As for the volume: 167.3 Å³/cell. As for the raw total energy: -92.01 eV/cell.

abc: 3.592 3.592 12.970
angles: 90.00 90.00 90.00
Sites, in units of the cell vectors:
Mn (0.000, 0.000, 0.168)
Mn (0.000, 0.000, 0.832)
Mn (0.000, 0.500, 0.000)
Mn (0.000, 0.500, 0.500)
Mn (0.500, 0.000, 0.000)
Mn (0.500, 0.000, 0.500)
Mn (0.500, 0.500, 0.332)
Mn (0.500, 0.500, 0.668)
Ga (0.000, 0.000, 0.360)
Ga (0.000, 0.000, 0.640)
Ga (0.500, 0.500, 0.140)
Ga (0.500, 0.500, 0.860)
H (0.000, 0.000, 0.000)
H (0.500, 0.500, 0.500)



Entry 4:
# NdHN3

NdHN3 after structural relaxation (PBE, Alexandria via LeMat-Bulk).

Properties
As for the volume: 149.7 Å³/cell. As for the raw total energy: -70.52 eV/cell.

abc: 5.838 5.838 8.364
angles: 116.44 116.44 36.46
Sites, in units of the cell vectors:
Nd (0.118, 0.118, 0.311)
Nd (0.882, 0.882, 0.689)
H (0.406, 0.406, 0.421)
H (0.594, 0.594, 0.579)
N (0.347, 0.347, 0.920)
N (0.356, 0.356, 0.498)
N (0.403, 0.403, 0.079)
N (0.597, 0.597, 0.921)
N (0.644, 0.644, 0.502)
N (0.653, 0.653, 0.080)



Entry 5:
# Ac6Si2TeI3

Ac6Si2TeI3 after structural relaxation (PBE, Alexandria via LeMat-Bulk).

Properties
As for the volume: 452.0 Å³/cell. The value obtained for the uncorrected formation energy is -1.0234 eV per atom.

abc: 10.688 10.688 9.682
angles: 104.86 104.86 25.06
Sites, in units of the cell vectors:
Ac (0.018, 0.018, 0.247)
Ac (0.322, 0.322, 0.443)
Ac (0.334, 0.334, 0.874)
Ac (0.666, 0.666, 0.126)
Ac (0.678, 0.678, 0.557)
Ac (0.982, 0.982, 0.753)
Si (0.168, 0.168, 0.336)
Si (0.832, 0.832, 0.664)
Te (0.500, 0.500, 0.000)
I (0.163, 0.163, 0.833)
I (0.500, 0.500, 0.500)
I (0.837, 0.837, 0.167)



Entry 6:
# Sr2YTe

Sr2YTe after structural relaxation (PBE, Alexandria via LeMat-Bulk).

Properties
As for the volume: 295.4 Å³/cell. The value obtained for the uncorrected formation energy is -0.3588 eV per atom.

abc: 4.970 4.970 11.958
angles: 90.00 90.00 90.00
Sites, in units of the cell vectors:
Sr (0.000, 0.000, 0.000)
Sr (0.000, 0.500, 0.250)
Sr (0.500, 0.000, 0.750)
Sr (0.500, 0.500, 0.500)
Y (0.000, 0.000, 0.500)
Y (0.500, 0.500, 0.000)
Te (0.000, 0.500, 0.750)
Te (0.500, 0.000, 0.250)



Question: Which formula does entry 2 have?
Answer: ErScRuPt



Question: Number 2 is which compound?
Answer: ErScRuPt



Question: Among the records above, which one has the highest volume?
Answer: Ac6Si2TeI3